# 1
Below is Cs2InSiF6 after structural relaxation, with properties calculated at the PBE level.

a b c (Å): 6.3567 6.3567 11.0361
angles (deg): 90.00 90.00 90.00
Space group I4/mmm (No. 139)
One atom of each set of equivalent atoms:
Cs1 0.0000 0.5000 0.2500 (multiplicity 4)
In1 0.0000 0.0000 0.0000 (multiplicity 2)
Si1 0.0000 0.0000 0.5000 (multiplicity 2)
F1 0.0000 0.0000 0.3441 (multiplicity 4)
F2 0.1919 0.1919 0.5000 (multiplicity 8)

Properties
M_tot: 2.00 Bohr magnetons per cell
energy: -4.72 eV per atom
formation energy (no corrections): -2.611 eV per atom
V: 22.30 A^3/atom


# 2
Below is CsInSnF6 after structural relaxation, with properties calculated at the PBE level.

a b c (Å): 6.0825 6.1313 6.3001
angles (deg): 60.90 89.68 89.34
Space group P1 (No. 1)
One atom of each set of equivalent atoms:
Cs1 0.0000 0.0000 0.0000 (multiplicity 1)
In1 0.4992 0.6650 0.6701 (multiplicity 1)
Sn1 0.5001 0.3345 0.3309 (multiplicity 1)
F1 0.3007 0.4117 0.9598 (multiplicity 1)
F2 0.3060 0.6333 0.4061 (multiplicity 1)
F3 0.3137 0.9813 0.6297 (multiplicity 1)
F4 0.6847 0.3877 0.6321 (multiplicity 1)
F5 0.6926 0.9593 0.4052 (multiplicity 1)
F6 0.6978 0.6309 0.9589 (multiplicity 1)

Properties
M_tot: 0.00 Bohr magnetons per cell
energy: -4.62 eV per atom
formation energy (no corrections): -2.533 eV per atom
V: 22.81 A^3/atom


# 3
Below is Cs2InSn2F7 after structural relaxation, with properties calculated at the PBE level.

a b c (Å): 6.4336 7.4388 12.1379
angles (deg): 90.00 101.15 90.00
Space group C2/m (No. 12)
One atom of each set of equivalent atoms:
Cs1 0.2039 0.0000 0.3707 (multiplicity 4)
In1 0.0000 0.0000 0.0000 (multiplicity 2)
Sn1 0.1526 0.5000 0.1910 (multiplicity 4)
F1 0.0000 0.5000 0.0000 (multiplicity 2)
F2 0.0821 0.3057 0.7986 (multiplicity 8)
F3 0.2035 0.5000 0.3810 (multiplicity 4)

Properties
M_tot: 0.00 Bohr magnetons per cell
energy: -4.44 eV per atom
formation energy (no corrections): -2.307 eV per atom
V: 23.75 A^3/atom


# 4
Below is Cs2SrInF6 after structural relaxation, with properties calculated at the PBE level.

a b c (Å): 9.5079 9.5079 9.5079
angles (deg): 90.00 90.00 90.00
Space group Fm-3m (No. 225)
One atom of each set of equivalent atoms:
Cs1 0.2500 0.2500 0.2500 (multiplicity 8)
Sr1 0.0000 0.0000 0.0000 (multiplicity 4)
In1 0.0000 0.0000 0.5000 (multiplicity 4)
F1 0.0000 0.0000 0.2543 (multiplicity 24)

Properties
M_tot: 3.92 Bohr magnetons per cell
energy: -4.61 eV per atom
formation energy (no corrections): -2.877 eV per atom
V: 21.49 A^3/atom


# 5
Below is Cs2InTeF6 after structural relaxation, with properties calculated at the PBE level.

a b c (Å): 7.3829 7.3829 8.7567
angles (deg): 90.00 90.00 90.00
Space group I4/mmm (No. 139)
One atom of each set of equivalent atoms:
Cs1 0.0000 0.5000 0.2500 (multiplicity 4)
In1 0.0000 0.0000 0.0000 (multiplicity 2)
Te1 0.0000 0.0000 0.5000 (multiplicity 2)
F1 0.0000 0.0000 0.2529 (multiplicity 4)
F2 0.1985 0.1985 0.0000 (multiplicity 8)

Properties
M_tot: 2.00 Bohr magnetons per cell
energy: -4.11 eV per atom
formation energy (no corrections): -2.228 eV per atom
V: 23.87 A^3/atom


# 6
Below is Cs2TiInF6 after structural relaxation, with properties calculated at the PBE level.

a b c (Å): 6.6179 6.6179 9.3916
angles (deg): 90.00 90.00 90.00
Space group I4/mmm (No. 139)
One atom of each set of equivalent atoms:
Cs1 0.0000 0.5000 0.2500 (multiplicity 4)
Ti1 0.0000 0.0000 0.0000 (multiplicity 2)
In1 0.0000 0.0000 0.5000 (multiplicity 2)
F1 0.0000 0.0000 0.2164 (multiplicity 4)
F2 0.2125 0.2125 0.0000 (multiplicity 8)

Properties
M_tot: 2.00 Bohr magnetons per cell
energy: -5.17 eV per atom
formation energy (no corrections): -2.811 eV per atom
V: 20.57 A^3/atom
polymorph energy (0 for the lowest one): 0 meV/atom


# 7
Below is Cs2TiInF6 after structural relaxation, with properties calculated at the PBE level.

a b c (Å): 6.8835 6.8835 31.6333
angles (deg): 90.00 90.00 120.00
Space group R-3m (No. 166, hexagonal axes)
One atom of each set of equivalent atoms:
Cs1 0.0000 0.0000 0.1295 (multiplicity 6)
Cs2 0.0000 0.0000 0.2715 (multiplicity 6)
Ti1 0.0000 0.0000 0.0000 (multiplicity 3)
Ti2 0.0000 0.0000 0.5000 (multiplicity 3)
In1 0.0000 0.0000 0.3981 (multiplicity 6)
F1 0.0454 0.5227 0.1324 (multiplicity 18)
F2 0.0693 0.5347 0.7045 (multiplicity 18)

Properties
M_tot: 6.00 Bohr magnetons per cell
energy: -5.14 eV per atom
formation energy (no corrections): -2.788 eV per atom
V: 21.63 A^3/atom
polymorph energy (0 for the lowest one): 23 meV/atom


# 8
Below is Cs2TlIn3F12 after structural relaxation, with properties calculated at the PBE level.

a b c (Å): 8.1349 8.1349 19.4002
angles (deg): 90.00 90.00 120.00
Space group R-3m (No. 166, hexagonal axes)
One atom of each set of equivalent atoms:
Cs1 0.0000 0.0000 0.1211 (multiplicity 6)
Tl1 0.0000 0.0000 0.5000 (multiplicity 3)
In1 0.0000 0.5000 0.0000 (multiplicity 9)
F1 0.0347 0.5174 0.8953 (multiplicity 18)
F2 0.0760 0.5380 0.3205 (multiplicity 18)

Properties
M_tot: 0.00 Bohr magnetons per cell
energy: -4.49 eV per atom
formation energy (no corrections): -2.559 eV per atom
V: 20.59 A^3/atom